Material: NpReNiO6
Method: DFT, PBE+U
State: relaxed

Calculated values
As for the calculated total energy: -8.27 eV per atom.

```
NpReNiO6
1.0
5.2153 0.0000 0.0000
-2.6077 4.5166 0.0000
0.0000 0.0000 9.0465
Np Re Ni O
2 2 2 12
Direct
0.3333 0.6667 0.2500
0.6667 0.3333 0.7500
0.0000 0.0000 0.0000
0.0000 0.0000 0.5000
0.3333 0.6667 0.7500
0.6667 0.3333 0.2500
0.0068 0.3180 0.6237
0.0068 0.6888 0.8763
0.3112 0.3180 0.8763
0.3112 0.9932 0.6237
0.3180 0.0068 0.1237
0.3180 0.3112 0.3763
0.6820 0.6888 0.6237
0.6820 0.9932 0.8763
0.6888 0.0068 0.3763
0.6888 0.6820 0.1237
0.9932 0.3112 0.1237
0.9932 0.6820 0.3763
```